(1)
# YZn3B | Alexandria | PBE-GGA | optimized geometry
data_YZn3B
_chemical_formula_sum 'Y1 Zn3 B1'
_space_group_name_H-M_alt 'P m -3 m'
_space_group_IT_number 221
_space_group_name_Hall '-P 4 2 3'
_cell_length_a 4.3312
_cell_length_b 4.3312
_cell_length_c 4.3312
_cell_angle_alpha 90.00
_cell_angle_beta 90.00
_cell_angle_gamma 90.00
loop_
_atom_site_label
_atom_site_fract_x
_atom_site_fract_y
_atom_site_fract_z
Y1 0.0000 0.0000 0.0000
Zn1 0.0000 0.5000 0.5000
B1 0.5000 0.5000 0.5000
# calculated volume = 81 Å³/cell
# spin magnetization = 0.00 μB/cell
# E_form = 0.17 eV per atom

(2)
# Na2AlSnGe | Alexandria | PBE-GGA | optimized geometry
data_Na2AlSnGe
_chemical_formula_sum 'Na2 Al1 Sn1 Ge1'
_space_group_name_H-M_alt 'P 4/m m m'
_space_group_IT_number 123
_space_group_name_Hall '-P 4 2'
_cell_length_a 5.6691
_cell_length_b 5.6691
_cell_length_c 5.1233
_cell_angle_alpha 90.00
_cell_angle_beta 90.00
_cell_angle_gamma 90.00
loop_
_atom_site_label
_atom_site_fract_x
_atom_site_fract_y
_atom_site_fract_z
Na1 0.0000 0.5000 0.0000
Al1 0.0000 0.0000 0.5000
Sn1 0.0000 0.0000 0.0000
Ge1 0.5000 0.5000 0.5000
# calculated volume = 165 Å³/cell
# spin magnetization = 0.02 μB/cell
# E_form = 0.61 eV per atom

(3)
# Rb2BN | Alexandria | PBE-GGA | optimized geometry
data_Rb2BN
_chemical_formula_sum 'Rb8 B4 N4'
_space_group_name_H-M_alt 'I -4 2 d'
_space_group_IT_number 122
_space_group_name_Hall 'I -4 2bw'
_cell_length_a 12.1714
_cell_length_b 12.1714
_cell_length_c 2.8735
_cell_angle_alpha 90.00
_cell_angle_beta 90.00
_cell_angle_gamma 90.00
loop_
_atom_site_label
_atom_site_fract_x
_atom_site_fract_y
_atom_site_fract_z
Rb1 0.0387 0.2500 0.1250
B1 0.0000 0.0000 0.5000
N1 0.0000 0.0000 0.0000
# calculated volume = 426 Å³/cell
# formation energy (no corrections) = 252 meV per atom
# spin magnetization = 0.00 μB/cell

(4)
# GeP4 | Alexandria | PBE-GGA | optimized geometry
data_GeP4
_chemical_formula_sum 'Ge2 P8'
_space_group_name_H-M_alt 'P 1 21/c 1'
_space_group_IT_number 14
_space_group_name_Hall '-P 2ybc'
_cell_length_a 5.2691
_cell_length_b 4.8029
_cell_length_c 7.9305
_cell_angle_alpha 90.00
_cell_angle_beta 96.72
_cell_angle_gamma 90.00
loop_
_atom_site_label
_atom_site_fract_x
_atom_site_fract_y
_atom_site_fract_z
Ge1 0.0000 0.0000 0.0000
P1 0.2502 0.2143 0.7537
P2 0.3985 0.6167 0.0989
# calculated volume = 199 Å³/cell
# spin magnetization = 0.00 μB/cell
# E_form = 0.12 eV per atom

(5)
# NaLa2ScTc | Alexandria | PBE-GGA | optimized geometry
data_NaLa2ScTc
_chemical_formula_sum 'Na1 La2 Sc1 Tc1'
_space_group_name_H-M_alt 'P 4/m m m'
_space_group_IT_number 123
_space_group_name_Hall '-P 4 2'
_cell_length_a 5.5211
_cell_length_b 5.5211
_cell_length_c 5.2691
_cell_angle_alpha 90.00
_cell_angle_beta 90.00
_cell_angle_gamma 90.00
loop_
_atom_site_label
_atom_site_fract_x
_atom_site_fract_y
_atom_site_fract_z
Na1 0.0000 0.0000 0.0000
La1 0.0000 0.5000 0.5000
Sc1 0.5000 0.5000 0.0000
Tc1 0.5000 0.5000 0.5000
# calculated volume = 161 Å³/cell
# spin magnetization = 0.00 μB/cell
# E_form = 0.08 eV per atom

(6)
# Li2ScGeO | Alexandria | PBE-GGA | optimized geometry
data_Li2ScGeO
_chemical_formula_sum 'Li2 Sc1 Ge1 O1'
_space_group_name_H-M_alt 'P 4/m m m'
_space_group_IT_number 123
_space_group_name_Hall '-P 4 2'
_cell_length_a 4.0896
_cell_length_b 4.0896
_cell_length_c 4.1843
_cell_angle_alpha 90.00
_cell_angle_beta 90.00
_cell_angle_gamma 90.00
loop_
_atom_site_label
_atom_site_fract_x
_atom_site_fract_y
_atom_site_fract_z
Li1 0.0000 0.5000 0.0000
Sc1 0.0000 0.0000 0.5000
Ge1 0.5000 0.5000 0.5000
O1 0.0000 0.0000 0.0000
# calculated volume = 70 Å³/cell
# formation energy (no corrections) = -1404 meV per atom
# spin magnetization = 0.00 μB/cell

(7)
# Ac2La6Tm | Alexandria | PBE-GGA | optimized geometry
data_Ac2La6Tm
_chemical_formula_sum 'Ac4 La12 Tm2'
_space_group_name_H-M_alt 'P 1 21/c 1'
_space_group_IT_number 14
_space_group_name_Hall '-P 2ybc'
_cell_length_a 9.1882
_cell_length_b 6.1843
_cell_length_c 12.4321
_cell_angle_alpha 90.00
_cell_angle_beta 103.51
_cell_angle_gamma 90.00
loop_
_atom_site_label
_atom_site_fract_x
_atom_site_fract_y
_atom_site_fract_z
Ac1 0.1584 0.0031 0.2760
La1 0.1708 0.5716 0.0891
La2 0.1774 0.0651 0.9714
La3 0.4721 0.0181 0.8288
Tm1 0.5000 0.0000 0.5000
# calculated volume = 687 Å³/cell
# spin magnetization = 0.00 μB/cell
# E_form = 0.09 eV per atom

(8)
# NdNp2Tl3S6 | Alexandria | PBE-GGA | optimized geometry
data_NdNp2Tl3S6
_chemical_formula_sum 'Nd2 Np4 Tl6 S12'
_space_group_name_H-M_alt 'C 1 2/m 1'
_space_group_IT_number 12
_space_group_name_Hall '-C 2y'
_cell_length_a 7.1032
_cell_length_b 12.2986
_cell_length_c 7.8716
_cell_angle_alpha 90.00
_cell_angle_beta 107.47
_cell_angle_gamma 90.00
loop_
_atom_site_label
_atom_site_fract_x
_atom_site_fract_y
_atom_site_fract_z
Nd1 0.0000 0.0000 0.0000
Np1 0.0000 0.3332 0.0000
Tl1 0.0000 0.1660 0.5000
Tl2 0.0000 0.5000 0.5000
S1 0.2214 0.5000 0.1962
S2 0.2380 0.1720 0.1981
# calculated volume = 656 Å³/cell
# formation energy (no corrections) = -1159 meV per atom
# spin magnetization = 16.00 μB/cell